No. 1
This record from Alexandria describes a geometry-optimized PrErAgRu structure. The functional is GGA-PBE.

a b c (Å): 7.1336 7.1336 7.1336
angles (deg): 90.00 90.00 90.00
Element x y z (fractional)
Pr 0.0000 0.0000 0.0000
Pr 0.0000 0.5000 0.5000
Pr 0.5000 0.0000 0.5000
Pr 0.5000 0.5000 0.0000
Er 0.0000 0.0000 0.5000
Er 0.0000 0.5000 0.0000
Er 0.5000 0.0000 0.0000
Er 0.5000 0.5000 0.5000
Ag 0.2500 0.2500 0.2500
Ag 0.2500 0.7500 0.7500
Ag 0.7500 0.2500 0.7500
Ag 0.7500 0.7500 0.2500
Ru 0.2500 0.2500 0.7500
Ru 0.2500 0.7500 0.2500
Ru 0.7500 0.2500 0.2500
Ru 0.7500 0.7500 0.7500

Output
The value obtained for the excess energy over the best structure of this formula in the dataset is 0.077 eV per atom. The value obtained for the formation enthalpy at 0 K is -0.25 eV per atom. As for the space group: F-43m, No. 216. The value obtained for the total magnetization is 0.00 μB per cell. Its total energy is -5.62 eV per atom.

No. 2
This record from Alexandria describes a geometry-optimized Sc3SbH structure. The functional is GGA-PBE.

a b c (Å): 4.4590 4.4590 4.4590
angles (deg): 90.00 90.00 90.00
Element x y z (fractional)
Sc 0.0000 0.0000 0.5000
Sc 0.0000 0.5000 0.0000
Sc 0.5000 0.0000 0.0000
Sb 0.5000 0.5000 0.5000
H 0.0000 0.0000 0.0000

Output
The value obtained for the excess energy over the best structure of this formula in the dataset is 0.000 eV per atom. As for the space group: Pm-3m, No. 221. The value obtained for the total magnetization is 0.00 μB per cell. Its total energy is -5.84 eV per atom.

No. 3
This record from Alexandria describes a geometry-optimized In3GeAu6 structure. The functional is GGA-PBE.

a b c (Å): 7.4446 7.4446 7.5282
angles (deg): 90.00 90.00 90.05
Element x y z (fractional)
In 0.0081 0.9919 0.5000
In 0.1994 0.4724 0.0035
In 0.4724 0.1994 0.5035
In 0.5276 0.8006 0.0035
In 0.8006 0.5276 0.5035
In 0.9919 0.0081 0.0000
Ge 0.3121 0.6879 0.4373
Ge 0.6879 0.3121 0.9373
Au 0.0039 0.2985 0.7319
Au 0.1417 0.3521 0.3673
Au 0.2074 0.7926 0.7578
Au 0.2985 0.0039 0.2319
Au 0.3521 0.1417 0.8673
Au 0.4808 0.5192 0.7263
Au 0.5192 0.4808 0.2263
Au 0.6479 0.8583 0.3673
Au 0.7015 0.9961 0.7319
Au 0.7926 0.2074 0.2578
Au 0.8583 0.6479 0.8673
Au 0.9961 0.7015 0.2319

Output
The value obtained for the formation enthalpy at 0 K is -0.08 eV per atom. As for the space group: Cmc2_1, No. 36. The value obtained for the total magnetization is 0.00 μB per cell. Its total energy is -3.33 eV per atom.

No. 4
This record from Alexandria describes a geometry-optimized ZnP2AuO structure. The functional is GGA-PBE.

a b c (Å): 4.9321 4.9321 3.9250
angles (deg): 90.00 90.00 90.00
Element x y z (fractional)
Zn 0.0000 0.0000 0.0000
P 0.0000 0.5000 0.5000
P 0.5000 0.0000 0.5000
Au 0.5000 0.5000 0.5000
O 0.5000 0.5000 0.0000

Output
The value obtained for the excess energy over the best structure of this formula in the dataset is 0.260 eV per atom. As for the space group: P4/mmm, No. 123. The value obtained for the total magnetization is 0.00 μB per cell. Its total energy is -3.20 eV per atom.

No. 5
This record from Alexandria describes a geometry-optimized NaHfAgBr6 structure. The functional is GGA-PBE.

a b c (Å): 7.1286 7.1286 13.0545
angles (deg): 90.00 90.00 120.00
Element x y z (fractional)
Na 0.0000 0.0000 0.0000
Na 0.0000 0.0000 0.5000
Hf 0.3333 0.6667 0.2500
Hf 0.6667 0.3333 0.7500
Ag 0.3333 0.6667 0.7500
Ag 0.6667 0.3333 0.2500
Br 0.0295 0.3704 0.1326
Br 0.0295 0.6591 0.3674
Br 0.3409 0.3704 0.3674
Br 0.3409 0.9705 0.1326
Br 0.3704 0.0295 0.6326
Br 0.3704 0.3409 0.8674
Br 0.6296 0.6591 0.1326
Br 0.6296 0.9705 0.3674
Br 0.6591 0.0295 0.8674
Br 0.6591 0.6296 0.6326
Br 0.9705 0.3409 0.6326
Br 0.9705 0.6296 0.8674

Output
As for the space group: P-31c, No. 163. The value obtained for the total magnetization is 0.00 μB per cell. Its total energy is -3.87 eV per atom.

No. 6
This record from Alexandria describes a geometry-optimized MgGaGe structure. The functional is GGA-PBE.

a b c (Å): 4.7168 5.3103 5.7213
angles (deg): 113.19 95.13 112.23
Element x y z (fractional)
Mg 0.0000 0.0000 0.0000
Mg 0.3083 0.6131 0.5718
Ga 0.6425 0.3174 0.8689
Ga 0.9409 0.9282 0.4691
Ge 0.3034 0.6320 0.0745
Ge 0.6292 0.2439 0.3566

Output
The value obtained for the excess energy over the best structure of this formula in the dataset is 0.042 eV per atom. The value obtained for the formation enthalpy at 0 K is -0.02 eV per atom. As for the space group: P1, No. 1. The value obtained for the total magnetization is 0.00 μB per cell. Its total energy is -3.10 eV per atom.